This record from the Alexandria database describes crystalline Ce3I at its relaxed geometry. The functional is PBE.

The structure belongs to space group P6_3/mmc (No. 194); the cell edges are 6.6463, 6.6463 and 5.5266 Å and the angles 90.00°, 90.00° and 120.00°. The distinct sites, in fractional coordinates, are Ce at (0.1647, 0.3294, 0.2500) and I at (0.3333, 0.6667, 0.7500).

For the uncorrected formation energy, the calculation gives -0.145 eV/atom. The calculation puts the calculated density at 8597 kg/m3.